AcAl2F8: optimized geometry, PBE-GGA.

a b c (Å): 7.264 7.264 3.754
angles (deg): 90.00 90.00 120.00
Fractional positions:
Ac  0.000  0.000  0.000
Al  0.333  0.667  0.799
Al  0.667  0.333  0.201
F  0.193  0.391  0.802
F  0.198  0.807  0.802
F  0.333  0.667  0.302
F  0.391  0.198  0.198
F  0.609  0.802  0.802
F  0.667  0.333  0.698
F  0.802  0.193  0.198
F  0.807  0.609  0.198

Uncorrected formation energy in eV per atom: -3.4970
Density of states at the Fermi level in states/eV/cell: 1.308
Energy in eV/atom: -5.912
Polymorph energy (0 for the lowest one) in kJ per mole of atoms: 0.0


Pu2MgAl3Pt4: optimized geometry, PBE-GGA.

a b c (Å): 4.135 4.135 11.158
angles (deg): 90.00 90.00 90.00
Fractional positions:
Pu  0.000  0.500  0.248
Pu  0.500  0.000  0.752
Mg  0.000  0.000  0.500
Al  0.000  0.500  0.872
Al  0.500  0.000  0.128
Al  0.500  0.500  0.500
Pt  0.000  0.000  0.000
Pt  0.000  0.500  0.647
Pt  0.500  0.000  0.353
Pt  0.500  0.500  0.000

Density of states at the Fermi level in states/eV/cell: 26.879
DFT formation energy in meV/atom: -850
Energy in eV/atom: -7.415


What is the density of states at the Fermi level in the second record?
26.879 states/eV/cell


Repeat the second record exactly.
Pu2MgAl3Pt4: optimized geometry, PBE-GGA.

a b c (Å): 4.135 4.135 11.158
angles (deg): 90.00 90.00 90.00
Fractional positions:
Pu  0.000  0.500  0.248
Pu  0.500  0.000  0.752
Mg  0.000  0.000  0.500
Al  0.000  0.500  0.872
Al  0.500  0.000  0.128
Al  0.500  0.500  0.500
Pt  0.000  0.000  0.000
Pt  0.000  0.500  0.647
Pt  0.500  0.000  0.353
Pt  0.500  0.500  0.000

Density of states at the Fermi level in states/eV/cell: 26.879
DFT formation energy in meV/atom: -850
Energy in eV/atom: -7.415


The lowest energy belongs to which entry?
Pu2MgAl3Pt4


Which value of energy does entry 2 give?
-7.415 eV/atom